Arrangement 1

{
  "formula": "NaCd4Sn4",
  "functional": "PBE",
  "state": "relaxed",
  "lattice_angstrom": [[6.1885, 0.0000, 0.0000], [0.0000, 9.5083, 0.0000], [0.0000, 0.0000, 9.5083]],
  "species": ["Sn", "Na", "Sn", "Cd", "Cd", "Sn", "Sn", "Cd", "Cd", "Cd", "Cd", "Na", "Sn", "Cd", "Cd", "Sn", "Sn", "Sn"],
  "fractional_positions": [[0.3731, 0.6443, 0.1597], [0.0000, 0.0000, 0.0000], [0.1269, 0.1443, 0.6597], [0.3727, 0.6693, 0.8540], [0.6273, 0.8540, 0.3307], [0.6269, 0.8403, 0.6443], [0.8731, 0.3403, 0.1443], [0.8727, 0.3540, 0.8307], [0.1273, 0.1693, 0.3540], [0.3727, 0.3307, 0.1460], [0.6273, 0.1460, 0.6693], [0.5000, 0.5000, 0.5000], [0.8731, 0.6597, 0.8557], [0.1273, 0.8307, 0.6460], [0.8727, 0.6460, 0.1693], [0.3731, 0.3557, 0.8403], [0.1269, 0.8557, 0.3403], [0.6269, 0.1597, 0.3557]]
}

=====

Arrangement 2

{
  "formula": "NaCd4Sn4",
  "functional": "PBE",
  "state": "relaxed",
  "lattice_angstrom": [[0.6201, -3.9671, 2.1772], [5.7109, -3.5114, -3.2335], [4.7923, 1.1776, 5.5720]],
  "species": ["Sn", "Cd", "Sn", "Sn", "Cd", "Cd", "Sn", "Na", "Cd"],
  "fractional_positions": [[0.3295, 0.3411, 0.9999], [0.6576, 0.3424, 0.3424], [0.6706, 0.9999, 0.6589], [0.3294, 0.0001, 0.3411], [0.3424, 0.6576, 0.6576], [0.0000, 0.3424, 0.6576], [0.6705, 0.6589, 0.0001], [0.0000, 0.0000, 0.0000], [0.0000, 0.6576, 0.3424]]
}

=====

Most stable one: arrangement 2, least stable one: arrangement 1.

=====

Arrangement 1

{
  "formula": "NaCd4Sn",
  "functional": "PBE",
  "state": "relaxed",
  "lattice_angstrom": [[-5.2602, 2.1866, -1.8016], [-4.8182, -0.5533, 3.4894], [-2.3127, 4.8106, 2.6844]],
  "species": ["Cd", "Cd", "Cd", "Sn", "Cd", "Na"],
  "fractional_positions": [[0.6247, 0.6247, 0.1259], [0.1260, 0.6247, 0.6247], [0.6247, 0.6247, 0.6247], [0.0000, 0.0000, 0.0000], [0.6247, 0.1259, 0.6247], [0.2500, 0.2500, 0.2500]]
}

=====

Arrangement 2

{
  "formula": "NaCd4Sn",
  "functional": "PBE",
  "state": "relaxed",
  "lattice_angstrom": [[-4.7230, 1.6558, -0.8194], [-2.2725, -2.8839, 7.2708], [4.2525, 6.2475, 3.8071]],
  "species": ["Cd", "Cd", "Cd", "Cd", "Na", "Cd", "Cd", "Na", "Cd", "Sn", "Sn", "Cd"],
  "fractional_positions": [[0.7708, 0.9197, 0.5416], [0.2292, 0.0803, 0.4584], [0.0000, 0.0000, 0.0000], [0.4453, 0.2500, 0.8907], [0.6308, 0.2500, 0.2616], [0.0000, 0.5000, 0.0000], [0.2292, 0.4197, 0.4584], [0.3692, 0.7500, 0.7384], [0.5547, 0.7500, 0.1093], [0.1531, 0.7500, 0.3062], [0.8469, 0.2500, 0.6938], [0.7708, 0.5803, 0.5416]]
}

=====

Arrangement 3

{
  "formula": "NaCd4Sn",
  "functional": "PBE",
  "state": "relaxed",
  "lattice_angstrom": [[5.1026, -0.0323, 0.0101], [-2.5229, 4.4310, -0.2008], [-0.0094, 0.2939, 6.5464]],
  "species": ["Na", "Sn", "Cd", "Cd", "Cd", "Cd"],
  "fractional_positions": [[0.0036, 0.4995, 0.9981], [0.0045, 0.4993, 0.4981], [0.3365, 0.1657, 0.7512], [0.6714, 0.8332, 0.2449], [0.6699, 0.8322, 0.7530], [0.3381, 0.1667, 0.2435]]
}

=====

Most stable one: arrangement 3, least stable one: arrangement 2.

=====

Arrangement 1

{
  "formula": "Na2Cd5Sn3",
  "functional": "PBE",
  "state": "relaxed",
  "lattice_angstrom": [[6.7011, -0.4072, -0.5806], [-0.9535, 8.6395, -2.0734], [-0.4863, 0.6848, 8.8963]],
  "species": ["Cd", "Sn", "Na", "Na", "Cd", "Sn", "Na", "Sn", "Na", "Cd", "Cd", "Sn", "Cd", "Cd", "Cd", "Cd", "Cd", "Cd", "Sn", "Sn"],
  "fractional_positions": [[0.4581, 0.2291, 0.3226], [0.3503, 0.5338, 0.2346], [0.0885, 0.3353, 0.8939], [0.9115, 0.6647, 0.1061], [0.2500, 0.4363, 0.5637], [0.8503, 0.2346, 0.5338], [0.4115, 0.1061, 0.6647], [0.2500, 0.0030, 0.9970], [0.5885, 0.8939, 0.3353], [0.4277, 0.6954, 0.9792], [0.7500, 0.5637, 0.4363], [0.1497, 0.7654, 0.4662], [0.0419, 0.6774, 0.7709], [0.9277, 0.9792, 0.6954], [0.9581, 0.3226, 0.2291], [0.5419, 0.7709, 0.6774], [0.5723, 0.3046, 0.0208], [0.0723, 0.0208, 0.3046], [0.7500, 0.9970, 0.0030], [0.6497, 0.4662, 0.7654]]
}

=====

Arrangement 2

{
  "formula": "Na2Cd5Sn3",
  "functional": "PBE",
  "state": "relaxed",
  "lattice_angstrom": [[6.4834, 0.0000, 0.0000], [3.2417, 9.1770, -0.7577], [3.2417, 0.6669, 9.1841]],
  "species": ["Sn", "Na", "Sn", "Na", "Na", "Cd", "Cd", "Sn", "Cd", "Cd", "Cd", "Sn", "Cd", "Cd", "Cd", "Cd", "Na", "Cd", "Sn", "Sn"],
  "fractional_positions": [[0.8704, 0.7692, 0.4900], [0.6247, 0.1333, 0.6172], [0.1296, 0.2308, 0.5100], [0.8753, 0.3828, 0.8667], [0.1247, 0.6172, 0.1333], [0.1246, 0.0220, 0.7288], [0.4955, 0.7545, 0.7545], [0.7500, 0.0000, 0.0000], [0.6246, 0.7288, 0.0220], [0.0045, 0.2455, 0.2455], [0.2500, 0.5000, 0.5000], [0.6296, 0.5100, 0.2308], [0.3754, 0.2712, 0.9780], [0.9955, 0.7545, 0.7545], [0.7500, 0.5000, 0.5000], [0.8754, 0.9780, 0.2712], [0.3753, 0.8667, 0.3828], [0.5045, 0.2455, 0.2455], [0.2500, 0.0000, 0.0000], [0.3704, 0.4900, 0.7692]]
}

=====

Most stable one: arrangement 2, least stable one: arrangement 1.

=====

Arrangement 1

{
  "formula": "NaCdSn4",
  "functional": "PBE",
  "state": "relaxed",
  "lattice_angstrom": [[-6.2841, 0.1999, -0.2016], [-3.1771, -4.2748, -3.3470], [-3.3832, -4.4147, 2.9385]],
  "species": ["Sn", "Cd", "Na", "Sn", "Sn", "Sn"],
  "fractional_positions": [[0.6248, 0.6248, 0.1256], [0.2500, 0.2500, 0.2500], [0.0000, 0.0000, 0.0000], [0.6248, 0.1256, 0.6248], [0.1256, 0.6248, 0.6248], [0.6248, 0.6248, 0.6248]]
}

=====

Arrangement 2

{
  "formula": "NaCdSn4",
  "functional": "PBE",
  "state": "relaxed",
  "lattice_angstrom": [[-5.0911, 1.0707, -1.1399], [1.6770, -5.0509, 0.2038], [-1.4847, -0.2292, 6.4346]],
  "species": ["Sn", "Na", "Sn", "Sn", "Sn", "Cd"],
  "fractional_positions": [[0.3331, 0.1665, 0.2662], [0.0000, 0.5000, 0.0000], [0.6669, 0.8335, 0.7338], [0.6665, 0.8331, 0.2662], [0.3335, 0.1669, 0.7338], [0.0000, 0.5000, 0.5000]]
}

=====

Most stable one: arrangement 2, least stable one: arrangement 1.

=====

Arrangement 1

{
  "formula": "Na6CdSn",
  "functional": "PBE",
  "state": "relaxed",
  "lattice_angstrom": [[-8.4525, -0.0723, 1.9567], [-2.4359, -0.2768, 8.3118], [-3.6829, 3.4754, 3.5893]],
  "species": ["Sn", "Na", "Na", "Na", "Na", "Na", "Cd", "Na"],
  "fractional_positions": [[0.0000, 0.0000, 0.0000], [0.9986, 0.5015, 0.7443], [0.4994, 0.7562, 0.7452], [0.5006, 0.2438, 0.2548], [0.7558, 0.0006, 0.7417], [0.0014, 0.4985, 0.2557], [0.5000, 0.5000, 0.5000], [0.2442, 0.9994, 0.2583]]
}

=====

Arrangement 2

{
  "formula": "Na6CdSn",
  "functional": "PBE",
  "state": "relaxed",
  "lattice_angstrom": [[5.6938, 0.0000, 0.0000], [0.0000, 6.0311, 0.0000], [0.0000, 0.0000, 6.8225]],
  "species": ["Cd", "Na", "Na", "Na", "Na", "Na", "Na", "Sn"],
  "fractional_positions": [[0.0000, 0.6811, 0.0000], [0.0000, 0.1764, 0.7467], [0.5000, 0.8293, 0.7405], [0.5000, 0.3550, 0.0000], [0.5000, 0.8293, 0.2595], [0.0000, 0.1764, 0.2533], [0.0000, 0.6290, 0.5000], [0.5000, 0.3235, 0.5000]]
}

=====

Most stable one: arrangement 2, least stable one: arrangement 1.

=====

Arrangement 1

{
  "formula": "NaCd6Sn2",
  "functional": "PBE",
  "state": "relaxed",
  "lattice_angstrom": [[4.5498, 0.0000, 0.0000], [0.0000, 4.5498, 0.0000], [0.0000, 0.0000, 11.1489]],
  "species": ["Cd", "Sn", "Cd", "Cd", "Sn", "Cd", "Na", "Cd", "Cd"],
  "fractional_positions": [[0.5000, 0.0000, 0.3038], [0.5000, 0.5000, 0.8689], [0.5000, 0.5000, 0.5000], [0.0000, 0.5000, 0.6962], [0.5000, 0.5000, 0.1311], [0.0000, 0.5000, 0.3038], [0.0000, 0.0000, 0.0000], [0.5000, 0.0000, 0.6962], [0.0000, 0.0000, 0.5000]]
}

=====

Arrangement 2

{
  "formula": "NaCd6Sn2",
  "functional": "PBE",
  "state": "relaxed",
  "lattice_angstrom": [[3.5137, -0.0964, -0.0923], [1.5330, 8.3902, 1.9967], [1.5330, 2.3625, 8.2947]],
  "species": ["Cd", "Sn", "Sn", "Cd", "Na", "Cd", "Cd", "Cd", "Cd"],
  "fractional_positions": [[0.3270, 0.0019, 0.3448], [0.1236, 0.3526, 0.3526], [0.8764, 0.6474, 0.6474], [0.3270, 0.3448, 0.0019], [0.0000, 0.0000, 0.0000], [0.6730, 0.6552, 0.9981], [0.6730, 0.9981, 0.6552], [0.5000, 0.3188, 0.6812], [0.5000, 0.6812, 0.3188]]
}

=====

Most stable one: arrangement 1, least stable one: arrangement 2.

=====

Arrangement 1

{
  "formula": "Na4Cd5Sn2",
  "functional": "PBE",
  "state": "relaxed",
  "lattice_angstrom": [[4.9809, 0.0000, 0.0000], [0.0000, 7.3577, -0.6955], [0.0000, -0.7380, 8.7126]],
  "species": ["Cd", "Cd", "Na", "Na", "Sn", "Na", "Sn", "Na", "Cd", "Cd", "Cd"],
  "fractional_positions": [[0.0000, 0.5000, 0.0000], [0.0000, 0.1627, 0.1259], [0.5000, 0.2253, 0.4273], [0.5000, 0.7747, 0.5727], [0.0000, 0.9097, 0.3367], [0.5000, 0.7820, 0.1145], [0.0000, 0.0903, 0.6633], [0.5000, 0.2180, 0.8855], [0.0000, 0.4814, 0.6605], [0.0000, 0.8373, 0.8741], [0.0000, 0.5186, 0.3395]]
}

=====

Arrangement 2

{
  "formula": "Na4Cd5Sn2",
  "functional": "PBE",
  "state": "relaxed",
  "lattice_angstrom": [[-0.7007, 0.8111, 3.1316], [-1.0302, -7.7536, 1.7778], [10.4702, 0.0388, 2.3328]],
  "species": ["Cd", "Sn", "Sn", "Cd", "Na", "Na", "Cd", "Cd", "Na", "Na", "Cd"],
  "fractional_positions": [[0.0000, 0.4298, 0.7167], [0.0000, 0.0543, 0.6435], [0.0000, 0.9457, 0.3565], [0.0000, 0.2154, 0.1713], [0.5000, 0.8428, 0.0988], [0.5000, 0.1572, 0.9012], [0.0000, 0.7846, 0.8287], [0.0000, 0.5702, 0.2833], [0.5000, 0.7034, 0.5527], [0.5000, 0.2967, 0.4473], [0.0000, 0.5000, 0.0000]]
}

=====

Most stable one: arrangement 2, least stable one: arrangement 1.

=====

Arrangement 1

{
  "formula": "Na3Cd8Sn3",
  "functional": "PBE",
  "state": "relaxed",
  "lattice_angstrom": [[4.5829, 0.0000, 1.2108], [2.0226, 8.7289, 1.6227], [0.0481, -0.4097, 9.0966]],
  "species": ["Cd", "Sn", "Na", "Cd", "Sn", "Na", "Cd", "Sn", "Cd", "Na", "Cd", "Cd", "Cd", "Cd"],
  "fractional_positions": [[0.8659, 0.7518, 0.5164], [0.0000, 0.8210, 0.1790], [0.7912, 0.2088, 0.2088], [0.1341, 0.2482, 0.4836], [0.5000, 0.0000, 0.0000], [0.2088, 0.7912, 0.7912], [0.1341, 0.4836, 0.2482], [0.0000, 0.1790, 0.8210], [0.3419, 0.9304, 0.3857], [0.5000, 0.5000, 0.5000], [0.6581, 0.6143, 0.0696], [0.8659, 0.5164, 0.7518], [0.6581, 0.0696, 0.6143], [0.3419, 0.3857, 0.9304]]
}

=====

Arrangement 2

{
  "formula": "Na3Cd8Sn3",
  "functional": "PBE",
  "state": "relaxed",
  "lattice_angstrom": [[4.8675, 0.0000, 0.0000], [2.4337, 8.9817, 0.0513], [2.4337, 2.4947, 8.6284]],
  "species": ["Cd", "Cd", "Cd", "Na", "Cd", "Cd", "Cd", "Sn", "Na", "Sn", "Cd", "Cd", "Na", "Sn"],
  "fractional_positions": [[0.3609, 0.3586, 0.9196], [0.6391, 0.0804, 0.6414], [0.1686, 0.2010, 0.4618], [0.5000, 0.5000, 0.5000], [0.6391, 0.6414, 0.0804], [0.3609, 0.9196, 0.3586], [0.8314, 0.5382, 0.7990], [0.5000, 0.0000, 0.0000], [0.1954, 0.8046, 0.8046], [0.0000, 0.7926, 0.2074], [0.1686, 0.4618, 0.2010], [0.8314, 0.7990, 0.5382], [0.8046, 0.1954, 0.1954], [0.0000, 0.2074, 0.7926]]
}

=====

Most stable one: arrangement 2, least stable one: arrangement 1.